No. 1
! PBE ReSb4P, optimized geometry; values from VASP
! Calculated density, g/cm³: 7.5
! Space group: F-43m (216)
! Formation energy (no corrections), eV per atom: 1.416
&SYSTEM
  ibrav = 0, nat = 6, ntyp = 3
/
ATOMIC_SPECIES
Re 186.21 Re.upf
Sb 121.76 Sb.upf
P 30.97 P.upf
ATOMIC_POSITIONS crystal
Re 0.0000 0.0000 0.0000
Sb 0.1253 0.6249 0.6249
Sb 0.6249 0.1253 0.6249
Sb 0.6249 0.6249 0.1253
Sb 0.6249 0.6249 0.6249
P 0.2500 0.2500 0.2500
CELL_PARAMETERS angstrom
0.0000 4.2687 4.2687
4.2687 0.0000 4.2687
4.2687 4.2687 0.0000


No. 2
! PBE Re2SbP, optimized geometry; values from VASP
! Calculated density, g/cm³: 13.1
! Space group: C2/m (12)
! Distance to the lowest polymorph of the same formula, meV/atom: 769.5
! Formation energy (no corrections), eV per atom: 0.890
&SYSTEM
  ibrav = 0, nat = 4, ntyp = 3
/
ATOMIC_SPECIES
Re 186.21 Re.upf
Sb 121.76 Sb.upf
P 30.97 P.upf
ATOMIC_POSITIONS crystal
Re 0.0000 0.5000 0.0000
Re 0.5000 0.0000 0.0000
Sb 0.0000 0.0000 0.5000
P 0.5000 0.5000 0.5000
CELL_PARAMETERS angstrom
3.0036 -4.1945 0.0000
3.0036 4.1945 0.0000
-1.4980 0.0000 2.6508


No. 3
! PBE ReSb2P, optimized geometry; values from VASP
! Calculated density, g/cm³: 8.8
! Space group: Imm2 (44)
! Formation energy (no corrections), eV per atom: 0.423
&SYSTEM
  ibrav = 0, nat = 4, ntyp = 3
/
ATOMIC_SPECIES
Re 186.21 Re.upf
Sb 121.76 Sb.upf
P 30.97 P.upf
ATOMIC_POSITIONS crystal
Re 0.0000 0.0000 0.0000
Sb 0.4480 0.4480 0.0000
Sb 0.7740 0.2740 0.5000
P 0.1431 0.6431 0.5000
CELL_PARAMETERS angstrom
-1.5869 2.2281 6.1227
1.5869 -2.2281 6.1227
1.5869 2.2281 -6.1227


No. 4
! PBE Re2SbP, optimized geometry; values from VASP
! Calculated density, g/cm³: 12.9
! Space group: C2/m (12)
! Distance to the lowest polymorph of the same formula, meV/atom: 171.4
! Formation energy (no corrections), eV per atom: 0.292
&SYSTEM
  ibrav = 0, nat = 4, ntyp = 3
/
ATOMIC_SPECIES
Re 186.21 Re.upf
Sb 121.76 Sb.upf
P 30.97 P.upf
ATOMIC_POSITIONS crystal
Re 0.2330 0.2330 0.1808
Re 0.7670 0.7670 0.8192
Sb 0.0000 0.0000 0.5000
P 0.5000 0.5000 0.0000
CELL_PARAMETERS angstrom
3.8128 -1.5410 0.0000
3.8128 1.5410 0.0000
-1.3606 0.0000 5.7734


No. 5
! PBE ReSb2P, optimized geometry; values from VASP
! Calculated density, g/cm³: 10.1
! Space group: I4/mmm (139)
! Formation energy (no corrections), eV per atom: 0.757
&SYSTEM
  ibrav = 0, nat = 4, ntyp = 3
/
ATOMIC_SPECIES
Re 186.21 Re.upf
Sb 121.76 Sb.upf
P 30.97 P.upf
ATOMIC_POSITIONS crystal
Re 0.0000 0.0000 0.0000
Sb 0.2500 0.7500 0.5000
Sb 0.7500 0.2500 0.5000
P 0.5000 0.5000 0.0000
CELL_PARAMETERS angstrom
-2.2603 2.2603 3.7089
2.2603 -2.2603 3.7089
2.2603 2.2603 -3.7089


No. 6
! PBE Re2SbP, optimized geometry; values from VASP
! Calculated density, g/cm³: 12.2
! Space group: P4mm (99)
! Distance to the lowest polymorph of the same formula, meV/atom: 16.4
! Formation energy (no corrections), eV per atom: 0.137
&SYSTEM
  ibrav = 0, nat = 4, ntyp = 3
/
ATOMIC_SPECIES
Re 186.21 Re.upf
Sb 121.76 Sb.upf
P 30.97 P.upf
ATOMIC_POSITIONS crystal
Re 0.0000 0.0000 0.0000
Re 0.5000 0.5000 0.2180
Sb 0.0000 0.0000 0.4639
P 0.5000 0.5000 0.8336
CELL_PARAMETERS angstrom
2.9847 0.0000 0.0000
0.0000 2.9847 0.0000
0.0000 0.0000 8.0283


No. 7
! PBE ReSbP, optimized geometry; values from VASP
! Calculated density, g/cm³: 9.6
! Space group: F-43m (216)
! Distance to the lowest polymorph of the same formula, meV/atom: 482.7
! Formation energy (no corrections), eV per atom: 0.460
&SYSTEM
  ibrav = 0, nat = 3, ntyp = 3
/
ATOMIC_SPECIES
Re 186.21 Re.upf
Sb 121.76 Sb.upf
P 30.97 P.upf
ATOMIC_POSITIONS crystal
Re 0.0000 0.0000 0.0000
Sb 0.7500 0.7500 0.7500
P 0.2500 0.2500 0.2500
CELL_PARAMETERS angstrom
0.0000 3.0847 3.0847
3.0847 0.0000 3.0847
3.0847 3.0847 0.0000


No. 8
! PBE ReSbP, optimized geometry; values from VASP
! Calculated density, g/cm³: 9.4
! Space group: Fmm2 (42)
! Distance to the lowest polymorph of the same formula, meV/atom: 480.3
! Formation energy (no corrections), eV per atom: 0.458
&SYSTEM
  ibrav = 0, nat = 3, ntyp = 3
/
ATOMIC_SPECIES
Re 186.21 Re.upf
Sb 121.76 Sb.upf
P 30.97 P.upf
ATOMIC_POSITIONS crystal
Re 0.0000 0.0000 0.0000
Sb 0.6647 0.6647 0.3353
P 0.3855 0.3855 0.6145
CELL_PARAMETERS angstrom
0.0000 2.5536 7.2915
1.6043 0.0000 7.2915
1.6043 2.5536 0.0000


Record order is preserved below.
Final energy: -25.85; -30.87; -24.41; -33.26; -23.08; -33.88; -20.60; -20.61 eV per formula unit